Record 1
Tl2CoRu | GGA-PBE | optimized geometry

a = 3.0842 Å, b = 3.0842 Å, c = 8.7412 Å
α = 90.00°, β = 90.00°, γ = 117.26°
Site moments in Bohr magnetons follow the coordinates.
Atoms (fractional coordinates):
Ru (0.5000, 0.5000, 0.7500)  -0.12
Co (0.5000, 0.5000, 0.2500)  1.25
Tl (0.0000, 0.0000, 0.4924)  -0.02
Tl (0.0000, 0.0000, 0.0076)  -0.02

Results
The offset from the most stable computed form is 295.4 meV/atom. For the spin magnetization, the calculation gives 1.01 μB/cell. As for the crystal system: orthorhombic. As for the space group: Cmmm, No. 65.



Record 2
Ac2As4PdAu3 | GGA-PBE | optimized geometry

a = 4.6476 Å, b = 4.6476 Å, c = 10.4382 Å
α = 90.00°, β = 90.00°, γ = 90.00°
Atoms (fractional coordinates):
As (0.0000, 0.5000, 0.3741)
As (0.0000, 0.0000, 0.0000)
As (0.5000, 0.5000, 0.0000)
As (0.5000, 0.0000, 0.6259)
Ac (0.5000, 0.0000, 0.2573)
Ac (0.0000, 0.5000, 0.7427)
Pd (0.5000, 0.5000, 0.5000)
Au (0.0000, 0.5000, 0.1294)
Au (0.0000, 0.0000, 0.5000)
Au (0.5000, 0.0000, 0.8706)

Results
For the spin magnetization, the calculation gives 0.00 μB/cell. As for the crystal system: tetragonal. As for the space group: P-4m2, No. 115.



Record 3
Mg2In2Au | GGA-PBE | optimized geometry

a = 7.2045 Å, b = 7.2045 Å, c = 4.4858 Å
α = 90.00°, β = 90.00°, γ = 90.00°
Atoms (fractional coordinates):
In (0.3566, 0.8566, 0.0000)
In (0.6434, 0.1434, 0.0000)
In (0.8566, 0.6434, 0.0000)
In (0.1434, 0.3566, 0.0000)
Au (0.5000, 0.5000, 0.0000)
Au (0.0000, 0.0000, 0.0000)
Mg (0.1622, 0.6622, 0.5000)
Mg (0.8378, 0.3378, 0.5000)
Mg (0.3378, 0.1622, 0.5000)
Mg (0.6622, 0.8378, 0.5000)

Results
The offset from the most stable computed form is 158.2 meV/atom. For the spin magnetization, the calculation gives 0.00 μB/cell. As for the crystal system: tetragonal. As for the space group: P4/mbm, No. 127.



Record 4
Cu3Au13 | GGA-PBE | optimized geometry

a = 5.9308 Å, b = 5.9308 Å, c = 7.8173 Å
α = 90.00°, β = 90.00°, γ = 90.66°
Atoms (fractional coordinates):
Cu (0.9981, 0.0019, 0.2518)
Cu (0.9981, 0.0019, 0.7482)
Cu (0.7555, 0.2445, 0.0000)
Au (0.2435, 0.7565, 0.0000)
Au (0.5069, 0.0068, 0.2446)
Au (0.9932, 0.4931, 0.7554)
Au (0.5043, 0.4957, 0.2387)
Au (0.2454, 0.7546, 0.5000)
Au (0.9932, 0.4931, 0.2446)
Au (0.5043, 0.4957, 0.7613)
Au (0.7581, 0.7560, 0.5000)
Au (0.2250, 0.2342, 0.0000)
Au (0.7575, 0.2425, 0.5000)
Au (0.2440, 0.2419, 0.5000)
Au (0.5069, 0.0068, 0.7554)
Au (0.7658, 0.7750, 0.0000)

Results
For the spin magnetization, the calculation gives 0.00 μB/cell. As for the crystal system: orthorhombic. As for the space group: Amm2, No. 38.



Across the entries above, raw total energy takes the values -18.1; -48.6; -25.0; -54.8 eV per cell, respectively.